! MgBeAg2 PBE-GGA optimized geometry; values from VASP
! space group: C2/m (12)
! volume: 16.0 Å³ per atom
! E_form: 0.048 eV/atom
&SYSTEM
  ibrav = 0, nat = 4, ntyp = 3
/
ATOMIC_SPECIES
Mg 24.30 Mg.upf
Be 9.01 Be.upf
Ag 107.87 Ag.upf
CELL_PARAMETERS angstrom
4.9816 -1.5417 0.0000
4.9816 1.5417 0.0000
-2.0696 0.0000 4.1659
ATOMIC_POSITIONS angstrom
Mg 0.0000 0.0000 0.0000
Be 3.9468 0.0000 2.0829
Ag 0.6259 0.0000 2.9632
Ag 7.2676 0.0000 1.2027

! Zn3SbAu3 PBE-GGA optimized geometry; values from VASP
! space group: Pm-3n (223)
! volume: 25.1 Å³ per atom
! energy relative to the elements, uncorrected: 2.355 eV per formula unit
&SYSTEM
  ibrav = 0, nat = 14, ntyp = 3
/
ATOMIC_SPECIES
Zn 65.41 Zn.upf
Sb 121.76 Sb.upf
Au 196.97 Au.upf
CELL_PARAMETERS angstrom
7.0591 0.0000 0.0000
0.0000 7.0591 0.0000
0.0000 0.0000 7.0591
ATOMIC_POSITIONS angstrom
Zn 0.0000 1.7648 3.5296
Zn 0.0000 5.2943 3.5296
Zn 1.7648 3.5296 0.0000
Zn 3.5296 0.0000 1.7648
Zn 3.5296 0.0000 5.2943
Zn 5.2943 3.5296 0.0000
Sb 0.0000 0.0000 0.0000
Sb 3.5296 3.5296 3.5296
Au 0.0000 3.5296 1.7648
Au 0.0000 3.5296 5.2943
Au 1.7648 0.0000 3.5296
Au 3.5296 1.7648 0.0000
Au 3.5296 5.2943 0.0000
Au 5.2943 0.0000 3.5296

! LaAlSb2 PBE-GGA optimized geometry; values from VASP
! space group: R-3m (166)
! volume: 27.5 Å³ per atom
! energy relative to the elements, uncorrected: -1.844 eV per formula unit
&SYSTEM
  ibrav = 0, nat = 4, ntyp = 3
/
ATOMIC_SPECIES
La 138.91 La.upf
Al 26.98 Al.upf
Sb 121.76 Sb.upf
CELL_PARAMETERS angstrom
2.4668 1.4242 5.2115
-2.4668 1.4242 5.2115
0.0000 -2.8484 5.2115
ATOMIC_POSITIONS angstrom
La 0.0000 0.0000 0.0000
Al 0.0000 0.0000 7.8173
Sb 0.0000 0.0000 3.4833
Sb 0.0000 0.0000 12.1513

! RbMn3Au PBE-GGA optimized geometry; values from VASP
! space group: Pm-3m (221)
! volume: 27.9 Å³ per atom
! E_form: 0.811 eV/atom
&SYSTEM
  ibrav = 0, nat = 5, ntyp = 3
/
ATOMIC_SPECIES
Rb 85.47 Rb.upf
Mn 54.94 Mn.upf
Au 196.97 Au.upf
CELL_PARAMETERS angstrom
5.1849 0.0000 0.0000
0.0000 5.1849 0.0000
0.0000 0.0000 5.1849
ATOMIC_POSITIONS angstrom
Rb 0.0000 0.0000 0.0000
Mn 0.0000 2.5925 2.5925
Mn 2.5925 0.0000 2.5925
Mn 2.5925 2.5925 0.0000
Au 2.5925 2.5925 2.5925

! RuIO2 PBE-GGA optimized geometry; values from VASP
! space group: I4_1/amd (141)
! volume: 19.9 Å³ per atom
! energy relative to the elements, uncorrected: -0.989 eV per formula unit
&SYSTEM
  ibrav = 0, nat = 8, ntyp = 3
/
ATOMIC_SPECIES
Ru 101.07 Ru.upf
I 126.90 I.upf
O 16.00 O.upf
CELL_PARAMETERS angstrom
-3.0403 3.0403 4.2960
3.0403 -3.0403 4.2960
3.0403 3.0403 -4.2960
ATOMIC_POSITIONS angstrom
Ru 3.0403 1.5202 1.0740
Ru 0.0000 1.5202 3.2220
I 3.0403 -1.5202 3.2220
I 0.0000 4.5605 1.0740
O 3.0403 0.0000 0.0000
O -1.5202 1.5202 2.1480
O 0.0000 0.0000 4.2960
O 1.5202 1.5202 2.1480

! Mg2GaGe2 PBE-GGA optimized geometry; values from VASP
! space group: P4/mbm (127)
! volume: 20.0 Å³ per atom
! E_form: -0.044 eV/atom
&SYSTEM
  ibrav = 0, nat = 10, ntyp = 3
/
ATOMIC_SPECIES
Mg 24.30 Mg.upf
Ga 69.72 Ga.upf
Ge 72.64 Ge.upf
CELL_PARAMETERS angstrom
8.1936 0.0000 0.0000
0.0000 8.1936 0.0000
0.0000 0.0000 2.9757
ATOMIC_POSITIONS angstrom
Mg 1.1354 2.9614 0.0000
Mg 2.9614 7.0582 0.0000
Mg 5.2322 1.1354 0.0000
Mg 7.0582 5.2322 0.0000
Ga 0.0000 0.0000 1.4879
Ga 4.0968 4.0968 1.4879
Ge 1.3119 5.4087 1.4879
Ge 2.7849 1.3119 1.4879
Ge 5.4087 6.8817 1.4879
Ge 6.8817 2.7849 1.4879

! GaCo3Si2 PBE-GGA optimized geometry; values from VASP
! space group: P4/mmm (123)
! volume: 11.2 Å³ per atom
! energy relative to the elements, uncorrected: -2.503 eV per formula unit
&SYSTEM
  ibrav = 0, nat = 6, ntyp = 3
/
ATOMIC_SPECIES
Ga 69.72 Ga.upf
Co 58.93 Co.upf
Si 28.09 Si.upf
CELL_PARAMETERS angstrom
2.7253 0.0000 0.0000
0.0000 2.7253 0.0000
0.0000 0.0000 9.0460
ATOMIC_POSITIONS angstrom
Ga 0.0000 0.0000 0.0000
Co 1.3626 1.3626 1.7551
Co 1.3626 1.3626 4.5230
Co 1.3626 1.3626 7.2909
Si 0.0000 0.0000 3.0715
Si 0.0000 0.0000 5.9745

! Ce4Zn2Ga PBE-GGA optimized geometry; values from VASP
! space group: C2/m (12)
! volume: 22.6 Å³ per atom
! E_form: -0.246 eV/atom
&SYSTEM
  ibrav = 0, nat = 7, ntyp = 3
/
ATOMIC_SPECIES
Ce 140.12 Ce.upf
Zn 65.41 Zn.upf
Ga 69.72 Ga.upf
CELL_PARAMETERS angstrom
5.1232 -1.9777 0.0000
5.1232 1.9777 0.0000
-1.3521 0.0000 7.7988
ATOMIC_POSITIONS angstrom
Ce 0.5211 0.0000 1.7276
Ce 1.4932 0.0000 5.2102
Ce 7.4012 0.0000 2.5885
Ce 8.3734 0.0000 6.0712
Zn 3.4025 0.0000 0.4766
Zn 5.4919 0.0000 7.3222
Ga 4.4472 0.0000 3.8994

Number 1: DOS(E_F) 0.22 states/eV per atom. Number 2: DOS(E_F) 0.50 states/eV per atom. Number 3: DOS(E_F) 0.38 states/eV per atom. Number 4: DOS(E_F) 1.72 states/eV per atom. Number 5: DOS(E_F) 1.18 states/eV per atom. Number 6: DOS(E_F) 0.29 states/eV per atom. Number 7: DOS(E_F) 0.60 states/eV per atom. Number 8: DOS(E_F) 1.99 states/eV per atom.